Density functional theory data (GGA-PBE) for an optimized crystal structure of LiPuS2O8.

Summary:
The crystal system is trigonal. As for the final energy: -7.157 eV per atom. For the density of states at the Fermi level, the calculation gives 9.6 states/eV per cell.

Unit cell a=5.4479 b=5.4479 c=6.7338 alpha=90.00 beta=90.00 gamma=120.00
Fractional positions:
Li1 0.0000 0.0000 0.0000
Pu1 0.0000 0.0000 0.5000
S1 0.6667 0.3333 0.1877
S2 0.3333 0.6667 0.8123
O1 0.3333 0.6667 0.0264
O2 0.3686 0.1843 0.2687
O3 0.8157 0.1843 0.2687
O4 0.6667 0.3333 0.9736
O5 0.1843 0.8157 0.7313
O6 0.6314 0.8157 0.7313
O7 0.1843 0.3686 0.7313
O8 0.8157 0.6314 0.2687